Entry 1:
Mg2ZrIrF, relaxed, DFT GGA-PBE; space-group type = P4/mmm
1.0
5.5046 0.0000 0.0000
0.0000 3.9370 0.0000
0.0000 0.0000 5.5046
Mg Ir Zr F
2 1 1 1
Direct
0.0000 0.0000 0.5000
0.5000 0.0000 0.0000
0.5000 0.5000 0.5000
0.0000 0.0000 0.0000
0.0000 0.5000 0.0000

***

Entry 2:
K3ThCl7, relaxed, DFT GGA-PBE; space-group type = Cm
1.0
6.5723 0.1245 3.2628
-1.3898 6.4249 3.2628
-0.3856 -0.4873 8.4600
K Th Cl
3 1 7
Direct
0.7821 0.2401 0.4881
0.4999 0.4999 0.0177
0.2401 0.7821 0.4881
0.9520 0.9520 0.0297
0.1484 0.1484 0.1472
0.6395 0.0985 0.2436
0.9564 0.3251 0.7659
0.0985 0.6395 0.2436
0.6306 0.6306 0.2734
0.3251 0.9564 0.7659
0.8523 0.8523 0.7867

***

Number 1: E_form (uncorrected) 8.44 kcal/mol of atoms, E_tot -0.1517 Ha/atom. Number 2: E_form (uncorrected) -48.34 kcal/mol of atoms, E_tot -0.1560 Ha/atom.